VASP calculation (PBE) on crystalline SrReCl at its relaxed geometry.

Cell: 7.2187 7.2187 7.2187 Å, 153.75 153.75 37.46°
Fractional positions:
Sr 0.0000 0.0000 0.0000
Re 0.6710 0.6710 0.0000
Cl 0.3648 0.3648 0.0000

Summary:
Space group: No. 107
Polymorph energy (0 for the lowest one): 0.000 eV/atom
Fermi-level density of states: 3.240 states/eV/f.u.
Uncorrected formation energy: 13.78 kcal/mol of atoms